Run P
# La7PrY12

A relaxed La7PrY12 crystal (GGA-PBE, Alexandria).

Unit cell a=12.1941 b=12.1941 c=16.4308 alpha=90.00 beta=90.00 gamma=120.00
Closest atoms and distances in Å follow each position.
Space group R-3 (No. 148, hexagonal axes)
One atom of each set of equivalent atoms:
La 0.0000 0.0000 0.0000 (multiplicity 3)  6 Y 3.35
La 0.0498 0.1815 0.2882 (multiplicity 18)  3 La 3.43-3.67, 5 Y 3.49-3.79
Pr 0.0000 0.0000 0.5000 (multiplicity 3)  6 Y 3.49
Y 0.0231 0.4456 0.2205 (multiplicity 18)  4 Y 3.31-3.65, 1 Pr 3.49, 2 La 3.57-3.66
Y 0.0525 0.5867 0.5838 (multiplicity 18)  5 Y 3.31-3.65, 2 La 3.35-3.49

---

Run Q
# La7PrY12

A relaxed La7PrY12 crystal (GGA-PBE, Alexandria).

Unit cell a=11.4055 b=11.4055 c=11.4055 alpha=90.00 beta=90.00 gamma=90.00
Closest atoms and distances in Å follow each position.
Space group Im-3 (No. 204)
One atom of each set of equivalent atoms:
La 0.0000 0.0000 0.5000 (multiplicity 6)  12 Y 4.03-4.05
La 0.2500 0.2500 0.2500 (multiplicity 8)  6 Y 2.85
Pr 0.0000 0.0000 0.0000 (multiplicity 2)  12 Y 4.02
Y 0.0000 0.2494 0.2486 (multiplicity 24)  2 La 2.85

---

Energies, relative to the best one, in meV per atom: run P 0; run Q 368.

---

Run P
# La2Pr6Y3

A relaxed La2Pr6Y3 crystal (GGA-PBE, Alexandria).

Unit cell a=5.7950 b=5.7950 c=24.8143 alpha=90.00 beta=90.00 gamma=90.00
Closest atoms and distances in Å follow each position.
Space group I4/mmm (No. 139)
One atom of each set of equivalent atoms:
La 0.0000 0.0000 0.0591 (multiplicity 4)  1 La 2.93, 4 Pr 3.04
Pr 0.0000 0.0000 0.2022 (multiplicity 4)  1 Y 3.42, 1 La 3.55
Pr 0.0000 0.5000 0.0964 (multiplicity 8)  2 La 3.04, 2 Y 3.30
Y 0.0000 0.0000 0.3402 (multiplicity 4)  5 Pr 3.30-3.42
Y 0.0000 0.0000 0.5000 (multiplicity 2)  8 Pr 3.76, 2 Y 3.96

---

Run Q
# La2Pr6Y3

A relaxed La2Pr6Y3 crystal (GGA-PBE, Alexandria).

Unit cell a=6.3058 b=10.9335 c=11.9989 alpha=90.00 beta=100.20 gamma=90.00
Closest atoms and distances in Å follow each position.
Space group C2/m (No. 12)
One atom of each set of equivalent atoms:
La 0.0000 0.1668 0.0000 (multiplicity 4)  3 La 3.64-3.65, 6 Pr 3.65-3.66
Pr 0.2485 0.5000 0.7475 (multiplicity 4)  3 Y 3.59-3.61, 6 Pr 3.63-3.65, 2 La 3.65
Pr 0.2497 0.1662 0.7472 (multiplicity 8)  3 Y 3.60-3.61, 6 Pr 3.63-3.65, 2 La 3.65-3.66
Y 0.0000 0.0000 0.5000 (multiplicity 2)  6 Pr 3.60-3.61, 6 Y 3.63-3.66
Y 0.0000 0.3347 0.5000 (multiplicity 4)  6 Pr 3.59-3.61, 6 Y 3.62-3.66

---

Energies, relative to the best one, in meV per atom: run P 273; run Q 0.

---

Run P
# LaPr2Y2

A relaxed LaPr2Y2 crystal (GGA-PBE, Alexandria).

Unit cell a=5.9436 b=7.1768 c=16.6598 alpha=90.00 beta=90.00 gamma=90.00
Closest atoms and distances in Å follow each position.
Space group Imma (No. 74)
One atom of each set of equivalent atoms:
La 0.0000 0.2500 0.1145 (multiplicity 4)  5 Y 3.51-3.76, 6 Pr 3.72
Pr 0.0000 0.0056 0.6912 (multiplicity 8)  4 Pr 3.51-3.67, 5 Y 3.65-3.73, 3 La 3.72
Y 0.0000 0.2500 0.4979 (multiplicity 4)  2 La 3.51, 4 Y 3.52-3.59, 4 Pr 3.65-3.67
Y 0.0000 0.2500 0.8885 (multiplicity 4)  2 Y 3.52, 3 La 3.59-3.76, 6 Pr 3.70-3.73

---

Run Q
# LaPr2Y2

A relaxed LaPr2Y2 crystal (GGA-PBE, Alexandria).

Unit cell a=4.2598 b=4.2598 c=19.2658 alpha=90.00 beta=90.00 gamma=90.00
Closest atoms and distances in Å follow each position.
Space group I4/mmm (No. 139)
One atom of each set of equivalent atoms:
La 0.0000 0.0000 0.0000 (multiplicity 2)  8 Y 3.59, 2 Pr 3.79
Pr 0.0000 0.0000 0.1969 (multiplicity 4)  5 Y 3.53-3.88, 4 Pr 3.64, 1 La 3.79
Y 0.0000 0.0000 0.3984 (multiplicity 4)  5 Pr 3.53-3.88, 4 La 3.59, 1 Y 3.91

---

Energies, relative to the best one, in meV per atom: run P 36; run Q 0.

---

Run P
# LaPr2Zn3

A relaxed LaPr2Zn3 crystal (GGA-PBE, Alexandria).

Unit cell a=5.2709 b=5.2709 c=6.4630 alpha=90.00 beta=90.00 gamma=120.00
Closest atoms and distances in Å follow each position.
Space group P-3m1 (No. 164)
One atom of each set of equivalent atoms:
La 0.0000 0.0000 0.0000 (multiplicity 1)  8 Zn 3.23
Pr 0.3333 0.6667 0.6656 (multiplicity 2)  8 Zn 3.21-3.25
Zn 0.0000 0.0000 0.5000 (multiplicity 1)  6 Pr 3.23, 2 La 3.23
Zn 0.3333 0.6667 0.1688 (multiplicity 2)  5 Pr 3.21-3.25, 3 La 3.23

---

Run Q
# LaPr2Zn3

A relaxed LaPr2Zn3 crystal (GGA-PBE, Alexandria).

Unit cell a=3.7334 b=3.7334 c=11.1918 alpha=90.00 beta=90.00 gamma=90.00
Closest atoms and distances in Å follow each position.
Space group P4/mmm (No. 123)
One atom of each set of equivalent atoms:
La 0.0000 0.0000 0.0000 (multiplicity 1)  8 Zn 3.26
Pr 0.0000 0.0000 0.3347 (multiplicity 2)  8 Zn 3.22
Zn 0.5000 0.5000 0.1705 (multiplicity 2)  4 Pr 3.22, 4 La 3.26
Zn 0.5000 0.5000 0.5000 (multiplicity 1)  8 Pr 3.22

---

Energies, relative to the best one, in meV per atom: run P 0; run Q 7.